An optimized crystal structure of HfRe, computed with PBE-GGA.

a = 4.4715 Å, b = 3.1847 Å, c = 5.7749 Å
α = 90.00°, β = 112.44°, γ = 90.00°
Fractional coordinates of all 4 atoms:
Hf 0.1418 0.2500 0.2884
Hf 0.8582 0.7500 0.7116
Re 0.4100 0.2500 0.8153
Re 0.5900 0.7500 0.1847

Values from the calculation:
The space group is P2_1/m (11). Its formation energy from the elements is 0.03 eV/atom. As for the total magnetization: 0.00 μB/cell.


An optimized crystal structure of HfRe, computed with PBE-GGA.

a = 7.8142 Å, b = 7.8142 Å, c = 4.5755 Å
α = 90.00°, β = 90.00°, γ = 120.00°
Fractional coordinates of all 12 atoms:
Hf 0.1725 0.3451 0.2500
Hf 0.1725 0.8275 0.2500
Hf 0.3451 0.1725 0.7500
Hf 0.6549 0.8275 0.2500
Hf 0.8275 0.1725 0.7500
Hf 0.8275 0.6549 0.7500
Re 0.1161 0.5581 0.7500
Re 0.4419 0.5581 0.7500
Re 0.4419 0.8839 0.7500
Re 0.5581 0.1161 0.2500
Re 0.5581 0.4419 0.2500
Re 0.8839 0.4419 0.2500

Values from the calculation:
The space group is P6_3/mmc (194). Its formation energy from the elements is 0.08 eV/atom. As for the total magnetization: 0.00 μB/cell.


An optimized crystal structure of HfRe, computed with PBE-GGA.

a = 5.3776 Å, b = 5.3776 Å, c = 5.4661 Å
α = 90.00°, β = 90.00°, γ = 90.00°
Fractional coordinates of all 8 atoms:
Hf 0.2038 0.2038 0.0000
Hf 0.2962 0.7038 0.5000
Hf 0.7038 0.2962 0.5000
Hf 0.7962 0.7962 0.0000
Re 0.1884 0.1884 0.5000
Re 0.3116 0.6884 0.0000
Re 0.6884 0.3116 0.0000
Re 0.8116 0.8116 0.5000

Values from the calculation:
The space group is P4_2/mnm (136). Its formation energy from the elements is 0.70 eV/atom. As for the total magnetization: 0.00 μB/cell.


An optimized crystal structure of Hf5Re24, computed with PBE-GGA.

a = 8.4562 Å, b = 8.4562 Å, c = 8.4562 Å
α = 109.47°, β = 109.47°, γ = 109.47°
Fractional coordinates of all 29 atoms:
Hf 0.0000 0.0000 0.0000
Hf 0.0000 0.0000 0.3716
Hf 0.0000 0.3716 0.0000
Hf 0.3716 0.0000 0.0000
Hf 0.6284 0.6284 0.6284
Re 0.0000 0.3230 0.6040
Re 0.0000 0.6040 0.3230
Re 0.0000 0.6243 0.8064
Re 0.0000 0.8064 0.6243
Re 0.1821 0.3757 0.3757
Re 0.1936 0.1936 0.8179
Re 0.1936 0.8179 0.1936
Re 0.2810 0.6770 0.6770
Re 0.3230 0.0000 0.6040
Re 0.3230 0.6040 0.0000
Re 0.3757 0.1821 0.3757
Re 0.3757 0.3757 0.1821
Re 0.3960 0.3960 0.7190
Re 0.3960 0.7190 0.3960
Re 0.6040 0.0000 0.3230
Re 0.6040 0.3230 0.0000
Re 0.6243 0.0000 0.8064
Re 0.6243 0.8064 0.0000
Re 0.6770 0.2810 0.6770
Re 0.6770 0.6770 0.2810
Re 0.7190 0.3960 0.3960
Re 0.8064 0.0000 0.6243
Re 0.8064 0.6243 0.0000
Re 0.8179 0.1936 0.1936

Values from the calculation:
The space group is I-43m (217). Its formation energy from the elements is -0.26 eV/atom. As for the total magnetization: 0.00 μB/cell.


An optimized crystal structure of HfRe, computed with PBE-GGA.

a = 4.5499 Å, b = 4.5499 Å, c = 5.4339 Å
α = 90.00°, β = 90.00°, γ = 120.00°
Fractional coordinates of all 4 atoms:
Hf 0.3333 0.6667 0.2500
Hf 0.6667 0.3333 0.7500
Re 0.3333 0.6667 0.7500
Re 0.6667 0.3333 0.2500

Values from the calculation:
The space group is P6_3/mmc (194). Its formation energy from the elements is 1.32 eV/atom. As for the total magnetization: 0.00 μB/cell.


An optimized crystal structure of HfRe, computed with PBE-GGA.

a = 6.9383 Å, b = 6.9383 Å, c = 6.9383 Å
α = 109.47°, β = 109.47°, γ = 109.47°
Fractional coordinates of all 8 atoms:
Hf 0.0000 0.0000 0.6024
Hf 0.0000 0.6024 0.0000
Hf 0.3976 0.3976 0.3976
Hf 0.6024 0.0000 0.0000
Re 0.0000 0.0000 0.2368
Re 0.0000 0.2368 0.0000
Re 0.2368 0.0000 0.0000
Re 0.7632 0.7632 0.7632

Values from the calculation:
The space group is I-43m (217). Its formation energy from the elements is 1.81 eV/atom. As for the total magnetization: 0.11 μB/cell.


An optimized crystal structure of Hf2ReRh, computed with PBE-GGA.

a = 9.3543 Å, b = 9.3543 Å, c = 9.3543 Å
α = 153.86°, β = 153.86°, γ = 37.30°
Fractional coordinates of all 8 atoms:
Hf 0.1245 0.6250 0.9995
Hf 0.3750 0.3745 0.4995
Hf 0.6255 0.1250 0.0005
Hf 0.8750 0.8755 0.5005
Re 0.0000 0.0000 0.0000
Re 0.7500 0.2500 0.5000
Rh 0.2500 0.7500 0.5000
Rh 0.5000 0.5000 0.0000

Values from the calculation:
The space group is I-42d (122). As for the energy above the lowest structure with this stoichiometry: 116.93 kJ/mol of atoms. Its formation energy from the elements is 0.49 eV/atom. As for the total magnetization: 0.76 μB/cell.


An optimized crystal structure of Hf4ReRh, computed with PBE-GGA.

a = 3.3147 Å, b = 3.3147 Å, c = 10.3412 Å
α = 90.00°, β = 90.00°, γ = 90.00°
Fractional coordinates of all 6 atoms:
Hf 0.0000 0.0000 0.1522
Hf 0.0000 0.0000 0.8478
Hf 0.5000 0.5000 0.3466
Hf 0.5000 0.5000 0.6534
Re 0.5000 0.5000 0.0000
Rh 0.0000 0.0000 0.5000

Values from the calculation:
The space group is P4/mmm (123). As for the energy above the lowest structure with this stoichiometry: 0.00 kJ/mol of atoms. Its formation energy from the elements is -0.40 eV/atom. As for the total magnetization: 0.00 μB/cell.


An optimized crystal structure of Hf2ReRh2, computed with PBE-GGA.

a = 7.8498 Å, b = 7.8498 Å, c = 7.8498 Å
α = 154.16°, β = 154.16°, γ = 36.87°
Fractional coordinates of all 5 atoms:
Hf 0.1021 0.1021 0.0000
Hf 0.8979 0.8979 0.0000
Re 0.5000 0.5000 0.0000
Rh 0.2500 0.7500 0.5000
Rh 0.7500 0.2500 0.5000

Values from the calculation:
The space group is I4/mmm (139). As for the energy above the lowest structure with this stoichiometry: 26.55 kJ/mol of atoms. Its formation energy from the elements is -0.09 eV/atom. As for the total magnetization: 0.00 μB/cell.


An optimized crystal structure of Hf2ReRh2, computed with PBE-GGA.

a = 7.5820 Å, b = 7.5820 Å, c = 3.0329 Å
α = 90.00°, β = 90.00°, γ = 90.00°
Fractional coordinates of all 10 atoms:
Hf 0.1612 0.3388 0.0000
Hf 0.3388 0.8388 0.0000
Hf 0.6612 0.1612 0.0000
Hf 0.8388 0.6612 0.0000
Re 0.0000 0.0000 0.0000
Re 0.5000 0.5000 0.0000
Rh 0.1390 0.6390 0.5000
Rh 0.3610 0.1390 0.5000
Rh 0.6390 0.8610 0.5000
Rh 0.8610 0.3610 0.5000

Values from the calculation:
The space group is P4/mbm (127). As for the energy above the lowest structure with this stoichiometry: 10.87 kJ/mol of atoms. Its formation energy from the elements is -0.25 eV/atom. As for the total magnetization: 0.00 μB/cell.


An optimized crystal structure of Hf5ReRh4, computed with PBE-GGA.

a = 3.2953 Å, b = 3.2953 Å, c = 16.0951 Å
α = 90.00°, β = 90.00°, γ = 90.00°
Fractional coordinates of all 10 atoms:
Hf 0.0000 0.0000 0.0000
Hf 0.0000 0.0000 0.1999
Hf 0.0000 0.0000 0.4019
Hf 0.0000 0.0000 0.5981
Hf 0.0000 0.0000 0.8001
Re 0.5000 0.5000 0.5000
Rh 0.5000 0.5000 0.1000
Rh 0.5000 0.5000 0.2965
Rh 0.5000 0.5000 0.7035
Rh 0.5000 0.5000 0.9000

Values from the calculation:
The space group is P4/mmm (123). Its formation energy from the elements is -0.81 eV/atom. As for the total magnetization: 0.00 μB/cell.


An optimized crystal structure of Hf4Re3Rh, computed with PBE-GGA.

a = 3.2820 Å, b = 4.6273 Å, c = 9.2332 Å
α = 90.00°, β = 90.00°, γ = 90.00°
Fractional coordinates of all 8 atoms:
Hf 0.0000 0.0000 0.0000
Hf 0.0000 0.0000 0.5000
Hf 0.0000 0.5000 0.2483
Hf 0.0000 0.5000 0.7517
Re 0.5000 0.0000 0.2527
Re 0.5000 0.0000 0.7473
Re 0.5000 0.5000 0.0000
Rh 0.5000 0.5000 0.5000

Values from the calculation:
The space group is Pmmm (47). Its formation energy from the elements is -0.51 eV/atom. As for the total magnetization: 0.00 μB/cell.